Here is a relaxed Cs4Hg6Pt crystal from Alexandria via LeMat-Bulk. Energies are from PBE.

The structure in extended XYZ format:
```
22
Lattice="10.026 0.000 0.000 0.000 10.026 0.000 0.000 0.000 9.963" Properties=species:S:1:pos:R:3 pbc="T T T"
Cs 3.477 1.536 2.491
Cs 1.536 6.549 7.473
Cs 6.549 8.490 7.473
Cs 8.490 3.477 7.473
Cs 3.477 1.536 7.473
Cs 1.536 6.549 2.491
Cs 8.490 3.477 2.491
Cs 6.549 8.490 2.491
Hg 2.670 9.031 4.982
Hg 7.683 6.008 0.000
Hg 6.008 2.343 0.000
Hg 0.995 2.670 4.982
Hg 0.000 0.000 2.110
Hg 5.013 5.013 2.872
Hg 4.018 7.683 0.000
Hg 0.000 0.000 7.854
Hg 2.343 4.018 0.000
Hg 5.013 5.013 7.091
Hg 9.031 7.356 4.982
Hg 7.356 0.995 4.982
Pt 5.013 5.013 0.000
Pt 0.000 0.000 4.982
```

energy relative to the elements: -0.152 eV/atom



Here is a relaxed VCr4Ru crystal from Alexandria via LeMat-Bulk. Energies are from PBE.

The structure in extended XYZ format:
```
6
Lattice="4.737 0.000 0.000 2.369 4.103 0.000 2.369 1.368 3.868" Properties=species:S:1:pos:R:3 pbc="T T T"
Ru 0.000 0.000 0.000
V 2.369 1.368 0.967
Cr 4.737 2.735 0.501
Cr 4.737 1.384 2.412
Cr 5.907 3.411 2.412
Cr 3.567 3.411 2.412
```

energy relative to the elements: 0.074 eV/atom



Here is a relaxed CdPRh2 crystal from Alexandria via LeMat-Bulk. Energies are from PBE.

The structure in extended XYZ format:
```
4
Lattice="-2.218 -2.364 3.029 2.611 -1.255 0.932 1.883 2.995 3.717" Properties=species:S:1:pos:R:3 pbc="T T T"
Cd 2.399 0.748 2.341
P 2.814 0.251 5.506
Rh 3.973 1.812 4.324
Rh -0.169 -0.826 2.481
```

energy relative to the elements: -0.214 eV/atom



no.,ρ (Mg/m³)
1,6.40
2,7.95
3,8.76